Entry 1:
DFT (PBE-GGA) results for an optimized crystal structure of UNiSb.

a b c (Å): 4.2552 4.2552 4.0657
angles (deg): 90.00 90.00 120.00
Space group P3m1 (No. 156)
Unique sites:
U1 0.0000 0.0000 0.0000 (multiplicity 1)
Ni1 0.6667 0.3333 0.6520 (multiplicity 1)
Sb1 0.3333 0.6667 0.4891 (multiplicity 1)

Summary:
- Uncorrected formation energy: -0.248 eV/atom
- Energy: -7.312 eV per atom
- Total moment: 2.179 μB per formula unit

=====

Entry 2:
DFT (PBE-GGA) results for an optimized crystal structure of UNi5Sb.

a b c (Å): 7.9870 4.9115 10.1354
angles (deg): 90.00 90.00 90.00
Space group Pnma (No. 62)
Unique sites:
U1 0.2392 0.2500 0.0536 (multiplicity 4)
Ni1 0.0771 0.5007 0.8148 (multiplicity 8)
Ni2 0.0828 0.2500 0.5993 (multiplicity 4)
Ni3 0.0921 0.7500 0.0223 (multiplicity 4)
Ni4 0.1687 0.7500 0.2579 (multiplicity 4)
Sb1 0.1332 0.2500 0.3545 (multiplicity 4)

Summary:
- Uncorrected formation energy: -0.240 eV/atom
- Energy: -6.571 eV per atom
- Total moment: 0.978 μB per formula unit

=====

Entry 3:
DFT (PBE-GGA) results for an optimized crystal structure of VNiSb3.

a b c (Å): 5.0346 5.0346 5.0346
angles (deg): 90.00 90.00 90.00
Space group Pm-3m (No. 221)
Unique sites:
V1 0.0000 0.0000 0.0000 (multiplicity 1)
Ni1 0.5000 0.5000 0.5000 (multiplicity 1)
Sb1 0.0000 0.0000 0.5000 (multiplicity 3)

Summary:
- Uncorrected formation energy: 0.701 eV/atom
- Energy: -4.752 eV per atom
- Polymorph energy (0 for the lowest one): 51 kJ/mol of formula units
- Total moment: 0.113 μB per formula unit